FeTc2F | PBE with a Hubbard U | relaxed

## Properties
SG ... I-42d
Calculated total energy ... -5.52 eV per atom
Offset from the most stable computed form ... 0.9391 eV/atom
Total magnetization ... 0.00 μB/f.u.

Unit cell a=5.157 b=5.157 c=6.098 alpha=64.99 beta=64.99 gamma=90.00
Fractional positions:
1 Tc 0.375 0.366 0.750
2 F 0.500 0.500 0.000
3 F 0.250 0.750 0.500
4 Tc 0.875 0.884 0.750
5 Fe 0.750 0.250 0.500
6 Tc 0.634 0.125 0.250
7 Tc 0.116 0.625 0.250
8 Fe 0.000 0.000 0.000